Density functional theory data (PBEsol) for a geometry-optimized SrTaNO2 structure.

a b c (Å): 3.971 5.750 9.059
angles (deg): 107.81 90.00 90.00
Fractional positions:
Sr 0.500 0.829 0.667
O 0.500 0.328 0.681
O 0.500 0.671 0.317
N 0.000 0.490 0.495
O 0.500 0.024 0.011
Ta 0.000 0.665 0.341
N 0.000 0.993 0.505
Ta 0.000 0.980 0.991
O 0.000 0.867 0.177
Sr 0.500 0.479 0.997
O 0.000 0.356 0.159
Ta 0.000 0.323 0.656
Sr 0.500 0.153 0.324
O 0.000 0.172 0.841
N 0.000 0.670 0.839

Computed properties:
- V (Å³/cell) = 197
- raw formation energy (kJ/mol of formula units) = -1190.8
- total moment (μB/cell) = 0.000